Run w
BiPt3O PBE optimized geometry; space-group type = Pm-3m (221); DOS at the Fermi energy = 5.3 states/eV per cell; calculated volume = 132.5 Å³ per cell
1.0
5.098 0.000 0.000
0.000 5.098 0.000
0.000 0.000 5.098
Bi Pt O
1 3 1
Cartesian
0.000 0.000 0.000 Bi
0.000 0.000 2.549 Pt
0.000 2.549 0.000 Pt
2.549 0.000 0.000 Pt
2.549 2.549 2.549 O

***

Run x
BiPt3O PBE optimized geometry; space-group type = Pm-3m (221); DOS at the Fermi energy = 2.5 states/eV per cell; calculated volume = 86.8 Å³ per cell
1.0
4.427 0.000 0.000
0.000 4.427 0.000
0.000 0.000 4.427
Bi Pt O
1 3 1
Cartesian
0.000 0.000 0.000 Bi
0.000 2.213 2.213 Pt
2.213 0.000 2.213 Pt
2.213 2.213 0.000 Pt
2.213 2.213 2.213 O

***

Last place for stability: run w

***

Run w
BiPt2O6 PBE optimized geometry; space-group type = P-31m (162); DOS at the Fermi energy = 7.0 states/eV per cell; calculated volume = 118.7 Å³ per cell
1.0
5.345 0.000 0.000
-2.673 4.629 0.000
0.000 0.000 4.799
Bi Pt O
1 2 6
Cartesian
0.000 0.000 0.000 Bi
0.000 3.086 2.400 Pt
2.673 1.543 2.400 Pt
-0.978 1.694 3.493 O
-1.694 2.935 1.306 O
1.956 0.000 3.493 O
0.978 1.694 1.306 O
3.389 0.000 1.306 O
1.694 2.935 3.493 O

***

Run x
BiPt2O6 PBE optimized geometry; space-group type = P-3m1 (164); DOS at the Fermi energy = 7.1 states/eV per cell; calculated volume = 111.9 Å³ per cell
1.0
6.546 0.000 0.000
-3.273 5.669 0.000
0.000 0.000 3.016
Bi Pt O
1 2 6
Cartesian
0.000 0.000 0.000 Bi
0.000 3.779 2.212 Pt
3.273 1.890 0.805 Pt
0.000 2.379 0.688 O
-1.212 4.479 0.688 O
2.061 1.190 2.329 O
1.212 4.479 0.688 O
4.485 1.190 2.329 O
3.273 3.290 2.329 O

***

Last place for stability: run x

***

Run w
BiSbPt2O PBE optimized geometry; space-group type = P4/mmm (123); DOS at the Fermi energy = 11.8 states/eV per cell; calculated volume = 153.1 Å³ per cell
1.0
5.073 0.000 0.000
0.000 5.073 0.000
0.000 0.000 5.948
Bi Sb Pt O
1 1 2 1
Cartesian
0.000 0.000 0.000 Bi
0.000 0.000 2.974 Sb
0.000 2.536 0.000 Pt
2.536 0.000 0.000 Pt
2.536 2.536 2.974 O

***

Run x
BiSbPt2O PBE optimized geometry; space-group type = P4/mmm (123); DOS at the Fermi energy = 2.8 states/eV per cell; calculated volume = 112.9 Å³ per cell
1.0
5.212 0.000 0.000
0.000 5.212 0.000
0.000 0.000 4.154
Bi Sb Pt O
1 1 2 1
Cartesian
0.000 0.000 0.000 Bi
2.606 2.606 2.077 Sb
0.000 2.606 0.000 Pt
2.606 0.000 0.000 Pt
0.000 0.000 2.077 O

***

Last place for stability: run w

***

Run w
PuBiO PBE optimized geometry; space-group type = P-6m2 (187); DOS at the Fermi energy = 5.8 states/eV per cell; calculated volume = 71.2 Å³ per cell
1.0
3.775 0.000 0.000
-1.888 3.269 0.000
0.000 0.000 5.766
Pu Bi O
1 1 1
Cartesian
0.000 0.000 0.000 Pu
0.000 2.180 2.883 Bi
1.888 1.090 0.000 O

***

Run x
PuBiO PBE optimized geometry; space-group type = I4/mmm (139); DOS at the Fermi energy = 27.4 states/eV per cell; calculated volume = 267.4 Å³ per cell
1.0
3.409 0.000 0.000
0.000 3.409 0.000
0.000 0.000 23.001
Pu Bi O
4 4 4
Cartesian
0.000 0.000 4.341 Pu
0.000 0.000 18.659 Pu
1.705 1.705 7.159 Pu
1.705 1.705 15.842 Pu
0.000 0.000 9.916 Bi
0.000 0.000 13.084 Bi
1.705 1.705 1.584 Bi
1.705 1.705 21.417 Bi
0.000 0.000 6.676 O
0.000 0.000 16.325 O
1.705 1.705 4.824 O
1.705 1.705 18.176 O

***

Last place for stability: run w

***

Run w
PuBiO PBE optimized geometry; space-group type = R-3 (148); DOS at the Fermi energy = 36.2 states/eV per cell; calculated volume = 466.5 Å³ per cell
1.0
6.603 3.812 3.089
-6.603 3.812 3.089
0.000 -7.625 3.089
Pu Bi O
6 6 6
Cartesian
-0.888 -3.761 3.023 Pu
-2.813 2.650 3.023 Pu
-3.701 -1.111 6.243 Pu
3.701 1.111 3.023 Pu
2.813 -2.650 6.243 Pu
0.888 3.761 6.243 Pu
-2.195 -0.743 3.293 Bi
1.741 -1.530 3.293 Bi
0.454 2.272 3.293 Bi
-0.454 -2.272 5.974 Bi
-1.741 1.530 5.974 Bi
2.195 0.743 5.974 Bi
-2.135 -5.298 3.968 O
-5.656 -0.800 5.299 O
-3.521 4.498 3.968 O
3.521 -4.498 5.299 O
5.656 0.800 3.968 O
2.135 5.298 5.299 O

***

Run x
PuBiO PBE optimized geometry; space-group type = P4/nmm (129); DOS at the Fermi energy = 11.0 states/eV per cell; calculated volume = 133.5 Å³ per cell
1.0
4.146 0.000 0.000
0.000 4.146 0.000
0.000 0.000 7.770
Pu Bi O
2 2 2
Cartesian
1.036 1.036 1.060 Pu
3.109 3.109 6.710 Pu
1.036 1.036 4.548 Bi
3.109 3.109 3.221 Bi
1.036 3.109 0.000 O
3.109 1.036 0.000 O

***

Last place for stability: run w

***

Run w
Pu3Bi2O PBE optimized geometry; space-group type = Pnma (62); DOS at the Fermi energy = 93.2 states/eV per cell; calculated volume = 625.9 Å³ per cell
1.0
8.026 0.000 0.000
0.000 4.077 0.000
0.000 0.000 19.128
Pu Bi O
12 8 4
Cartesian
0.283 1.019 3.325 Pu
0.991 1.019 6.564 Pu
1.290 1.019 10.301 Pu
2.723 3.058 0.737 Pu
3.022 3.058 16.128 Pu
3.730 3.058 12.889 Pu
4.296 1.019 6.238 Pu
5.004 1.019 2.999 Pu
5.303 1.019 18.390 Pu
6.737 3.058 8.826 Pu
7.035 3.058 12.563 Pu
7.744 3.058 15.802 Pu
0.999 1.019 17.928 Bi
1.345 1.019 13.731 Bi
2.668 3.058 4.167 Bi
3.014 3.058 8.364 Bi
5.012 1.019 10.764 Bi
5.358 1.019 14.961 Bi
6.682 3.058 5.397 Bi
7.027 3.058 1.200 Bi
0.154 3.058 10.640 O
3.860 1.019 1.076 O
4.167 3.058 18.052 O
7.873 1.019 8.488 O

***

Run x
Pu3Bi2O PBE optimized geometry; space-group type = Cmcm (63); DOS at the Fermi energy = 49.6 states/eV per cell; calculated volume = 318.7 Å³ per cell
1.0
5.685 -4.441 0.000
5.685 4.441 0.000
0.000 0.000 6.312
Pu Bi O
6 4 2
Cartesian
5.685 3.027 4.734 Pu
3.970 0.000 0.000 Pu
3.970 0.000 3.156 Pu
7.400 0.000 0.000 Pu
7.400 0.000 3.156 Pu
5.685 -3.027 1.578 Pu
4.024 2.837 1.578 Bi
7.347 2.837 1.578 Bi
4.024 -2.837 4.734 Bi
7.347 -2.837 4.734 Bi
5.685 0.726 4.734 O
5.685 -0.726 1.578 O

***

Last place for stability: run x

***

Run w
Pu3BiO3 PBE optimized geometry; space-group type = P6_3/m (176); DOS at the Fermi energy = 33.5 states/eV per cell; calculated volume = 310.8 Å³ per cell
1.0
9.545 0.000 0.000
-4.773 8.266 0.000
0.000 0.000 3.938
Pu Bi O
6 2 6
Cartesian
-2.655 5.871 0.985 Pu
1.016 3.031 0.985 Pu
3.133 0.636 2.954 Pu
1.639 7.631 0.985 Pu
3.757 5.235 2.954 Pu
7.428 2.396 2.954 Pu
0.000 5.511 2.954 Bi
4.773 2.755 0.985 Bi
-1.047 2.340 0.985 O
-2.222 8.003 0.985 O
1.503 2.077 2.954 O
3.269 6.189 0.985 O
6.995 0.263 2.954 O
5.820 5.926 2.954 O

***

Run x
Pu3BiO3 PBE optimized geometry; space-group type = R-3 (148); DOS at the Fermi energy = 32.4 states/eV per cell; calculated volume = 307.1 Å³ per cell
1.0
3.364 1.942 7.835
-3.364 1.942 7.835
0.000 -3.884 7.835
Pu Bi O
6 2 6
Cartesian
-2.285 -0.007 9.274 Pu
-1.137 -1.982 14.229 Pu
1.148 -1.975 9.274 Pu
-1.148 1.975 14.229 Pu
1.137 1.982 9.274 Pu
2.285 0.007 14.229 Pu
0.000 0.000 3.915 Bi
0.000 0.000 19.589 Bi
-1.097 -1.923 8.732 O
-2.214 -0.011 14.771 O
-1.117 1.912 8.732 O
1.117 -1.912 14.771 O
2.214 0.011 8.732 O
1.097 1.923 14.771 O

***

Last place for stability: run w

***

Run w
Pu2BiO PBE optimized geometry; space-group type = P4/mmm (123); DOS at the Fermi energy = 12.3 states/eV per cell; calculated volume = 85.6 Å³ per cell
1.0
3.253 0.000 0.000
0.000 3.253 0.000
0.000 0.000 8.085
Pu Bi O
2 1 1
Cartesian
0.000 0.000 1.523 Pu
0.000 0.000 6.562 Pu
1.627 1.627 4.043 Bi
1.627 1.627 0.000 O

***

Run x
Pu2BiO PBE optimized geometry; space-group type = Cmcm (63); DOS at the Fermi energy = 71.5 states/eV per cell; calculated volume = 369.1 Å³ per cell
1.0
4.510 0.000 0.000
0.000 17.176 0.000
0.000 0.000 4.765
Pu Bi O
8 4 4
Cartesian
0.000 1.232 1.191 Pu
0.000 4.236 3.574 Pu
0.000 12.939 1.191 Pu
0.000 15.943 3.574 Pu
2.255 4.351 1.191 Pu
2.255 7.355 3.574 Pu
2.255 9.820 1.191 Pu
2.255 12.824 3.574 Pu
0.000 6.981 1.191 Bi
0.000 10.194 3.574 Bi
2.255 1.606 3.574 Bi
2.255 15.569 1.191 Bi
0.000 3.482 1.191 O
0.000 13.694 3.574 O
2.255 5.106 3.574 O
2.255 12.070 1.191 O

***

Run y
Pu2BiO PBE optimized geometry; space-group type = Cmcm (63); DOS at the Fermi energy = 53.3 states/eV per cell; calculated volume = 358.4 Å³ per cell
1.0
3.585 0.000 0.000
0.000 15.077 0.000
0.000 0.000 6.631
Pu Bi O
8 4 4
Cartesian
0.000 2.373 0.088 Pu
0.000 2.373 3.227 Pu
0.000 12.705 3.404 Pu
0.000 12.705 6.543 Pu
1.792 5.166 3.404 Pu
1.792 5.166 6.543 Pu
1.792 9.911 0.088 Pu
1.792 9.911 3.227 Pu
0.000 7.422 1.658 Bi
0.000 7.656 4.974 Bi
1.792 0.117 4.974 Bi
1.792 14.960 1.658 Bi
0.000 4.043 4.974 O
0.000 11.034 1.658 O
1.792 3.496 1.658 O
1.792 11.582 4.974 O

***

Last place for stability: run w